Record 1
Below is a relaxed YReSi2 crystal, with properties calculated at the PBE-GGA level.

Summary:
As for the space group: No. 216. As for the crystal system: cubic. The value obtained for the formation energy from raw total energies is 0.34 eV per atom.

Cell: 4.5774 4.5774 4.5774 Å, 60.00 60.00 60.00°
Last column: nearest neighbours and their distance in Å.
Atoms (fractional coordinates):
Si  0.0000  0.0000  0.0000  4 Si 2.80, 4 Y 2.80
Si  0.2500  0.2500  0.2500  4 Re 2.80, 4 Si 2.80
Re  0.5000  0.5000  0.5000  4 Y 2.80, 4 Si 2.80
Y  0.7500  0.7500  0.7500  4 Re 2.80, 4 Si 2.80



Record 2
Below is a relaxed YReSi2 crystal, with properties calculated at the PBE-GGA level.

Summary:
As for the space group: No. 166. As for the crystal system: trigonal. The value obtained for the formation energy from raw total energies is -0.49 eV per atom.

Cell: 5.4076 5.4076 5.4076 Å, 45.10 45.10 45.10°
Last column: nearest neighbours and their distance in Å.
Atoms (fractional coordinates):
Si  0.0381  0.0381  0.0381  3 Re 2.48, 3 Si 2.73
Si  0.4619  0.4619  0.4619  3 Re 2.48, 3 Si 2.73
Y  0.2500  0.2500  0.2500  8 Si 2.98-3.08
Re  0.7500  0.7500  0.7500  6 Si 2.48



Record 3
Below is a relaxed Y2ReSi crystal, with properties calculated at the PBE-GGA level.

Summary:
As for the space group: No. 99. As for the crystal system: tetragonal. The value obtained for the formation energy from raw total energies is -0.20 eV per atom.

Cell: 3.3095 3.3095 8.0963 Å, 90.00 90.00 90.00°
Last column: nearest neighbours and their distance in Å.
Atoms (fractional coordinates):
Re  0.0000  0.0000  0.5642  4 Si 2.55
Si  0.5000  0.5000  0.6889  4 Re 2.55
Y  0.0000  0.0000  0.9286  1 Re 2.95, 4 Si 3.04
Y  0.5000  0.5000  0.3183  1 Si 3.00, 4 Re 3.07, 4 Y 3.31